# Dy5ZnRh2 (PBE, relaxed)
data_Dy5ZnRh2
_chemical_formula_sum 'Dy10 Zn2 Rh4'
_cell_length_a 7.7121
_cell_length_b 7.7121
_cell_length_c 8.5432
_cell_angle_alpha 116.83
_cell_angle_beta 116.83
_cell_angle_gamma 90.00
_symmetry_space_group_name_H-M 'P 1'
_symmetry_Int_Tables_number 1
_symmetry_space_group_name_Hall 'P 1'
loop_
_atom_site_label
_atom_site_type_symbol
_atom_site_fract_x
_atom_site_fract_y
_atom_site_fract_z
Dy1 Dy 0.9774 0.4774 0.2774
Dy2 Dy 0.7000 0.2000 0.7226
Dy3 Dy 0.5226 0.7000 0.7226
Dy4 Dy 0.5000 0.5000 0.0000
Dy5 Dy 0.0000 0.0000 0.0000
Dy6 Dy 0.0226 0.5226 0.7226
Dy7 Dy 0.3000 0.8000 0.2774
Dy8 Dy 0.8000 0.9774 0.2774
Dy9 Dy 0.4774 0.3000 0.2774
Dy10 Dy 0.2000 0.0226 0.7226
Rh1 Rh 0.6385 0.1385 0.0000
Rh2 Rh 0.8615 0.6385 0.0000
Rh3 Rh 0.1385 0.3615 0.0000
Rh4 Rh 0.3615 0.8615 0.0000
Zn1 Zn 0.2500 0.2500 0.5000
Zn2 Zn 0.7500 0.7500 0.5000
# **DFT total energy**: -5.45 eV/atom
# **Calculated formation energy**: -0.573 eV per atom
# **Space group**: No. 140
# **Spin magnetization**: 0.000 μB/atom